# Ti4SeS5

A geometry-optimized Ti4SeS5 structure (PBE, Alexandria).

Computed properties:
E_form (uncorrected)   -1.2537 eV/atom
Space-group type   No. 12
Total energy   -68.24 eV/cell
Density   3.8 Mg/m³

Unit cell a=7.8382 b=7.8382 c=7.2163 alpha=101.38 beta=101.38 gamma=25.69
Sites, in units of the cell vectors:
Ti (0.0017, 0.0017, 0.2779)
Ti (0.3226, 0.3226, 0.9209)
Ti (0.6774, 0.6774, 0.0791)
Ti (0.9983, 0.9983, 0.7221)
Se (0.5000, 0.5000, 0.0000)
S (0.1620, 0.1620, 0.3103)
S (0.1651, 0.1651, 0.8262)
S (0.5000, 0.5000, 0.5000)
S (0.8349, 0.8349, 0.1738)
S (0.8380, 0.8380, 0.6897)


# Ti3Se2S

A geometry-optimized Ti3Se2S structure (PBE, Alexandria).

Computed properties:
E_form (uncorrected)   -1.0473 eV/atom
Space-group type   No. 15
Total energy   -82.13 eV/cell
Density   5.3 Mg/m³

Unit cell a=6.3524 b=6.3524 c=6.2376 alpha=100.24 beta=100.24 gamma=118.59
Sites, in units of the cell vectors:
Ti (0.0000, 0.5000, 0.0000)
Ti (0.1137, 0.2515, 0.4799)
Ti (0.2515, 0.1137, 0.9799)
Ti (0.5000, 0.0000, 0.5000)
Ti (0.7485, 0.8863, 0.0201)
Ti (0.8863, 0.7485, 0.5201)
Se (0.2657, 0.7343, 0.7500)
Se (0.4277, 0.5723, 0.2500)
Se (0.5723, 0.4277, 0.7500)
Se (0.7343, 0.2657, 0.2500)
S (0.1005, 0.8995, 0.2500)
S (0.8995, 0.1005, 0.7500)


# TiSeS2

A geometry-optimized TiSeS2 structure (PBE, Alexandria).

Computed properties:
E_form (uncorrected)   0.3536 eV/atom
Space-group type   No. 166
Total energy   -18.22 eV/cell
Density   3.9 Mg/m³

Unit cell a=8.3662 b=8.3662 c=8.3662 alpha=23.29 beta=23.29 gamma=23.29
Sites, in units of the cell vectors:
Ti (0.0000, 0.0000, 0.0000)
Se (0.5000, 0.5000, 0.5000)
S (0.0933, 0.0933, 0.0933)
S (0.9067, 0.9067, 0.9067)


# Ti2Se2S

A geometry-optimized Ti2Se2S structure (PBE, Alexandria).

Computed properties:
E_form (uncorrected)   -0.9194 eV/atom
Space-group type   No. 127
Total energy   -62.97 eV/cell
Density   5.6 Mg/m³

Unit cell a=7.0188 b=7.0188 c=3.4664 alpha=90.00 beta=90.00 gamma=90.00
Sites, in units of the cell vectors:
Ti (0.1484, 0.3516, 0.0000)
Ti (0.3516, 0.8516, 0.0000)
Ti (0.6484, 0.1484, 0.0000)
Ti (0.8516, 0.6484, 0.0000)
Se (0.1425, 0.6425, 0.5000)
Se (0.3575, 0.1425, 0.5000)
Se (0.6425, 0.8575, 0.5000)
Se (0.8575, 0.3575, 0.5000)
S (0.0000, 0.0000, 0.0000)
S (0.5000, 0.5000, 0.0000)